No. 1
Material: Ag3BiO3
Method: DFT, PBE
State: relaxed

Cell: 14.2305 14.2305 8.8294 Å, 90.00 90.00 90.00°
Space group I4_1 (No. 80)
Unique sites:
Ag 0.0007 0.2248 0.0000 (multiplicity 8)
Ag 0.0226 0.5910 0.1170 (multiplicity 8)
Ag 0.0536 0.4098 0.7830 (multiplicity 8)
Ag 0.0620 0.9187 0.2296 (multiplicity 8)
Ag 0.1478 0.1970 0.7648 (multiplicity 8)
Ag 0.1511 0.7159 0.2492 (multiplicity 8)
Bi 0.1011 0.7788 0.6278 (multiplicity 8)
Bi 0.1017 0.2698 0.3830 (multiplicity 8)
O 0.0373 0.9082 0.6675 (multiplicity 8)
O 0.0377 0.3998 0.3391 (multiplicity 8)
O 0.0461 0.7964 0.3677 (multiplicity 8)
O 0.0472 0.2828 0.6471 (multiplicity 8)
O 0.1282 0.2406 0.1332 (multiplicity 8)
O 0.1290 0.7514 0.8774 (multiplicity 8)

E	-30.78	eV/f.u.

=====

No. 2
Material: AgBiO3
Method: DFT, PBE
State: relaxed

Cell: 5.7977 5.7977 14.0802 Å, 90.00 90.00 120.00°
Space group R-3c (No. 167, hexagonal axes)
Unique sites:
Ag 0.0000 0.0000 0.2500 (multiplicity 6)
Bi 0.0000 0.0000 0.0000 (multiplicity 6)
O 0.0000 0.3829 0.2500 (multiplicity 18)

E	-24.51	eV/f.u.